# CoCuNiO4, relaxed, DFT PBE with a Hubbard U
# **DOS(E_F)**: 2.6 states/eV/f.u.
# **VASP energy**: -37.2 eV/f.u.
data_CoCuNiO4
_chemical_formula_sum 'Co4 Cu4 Ni4 O16'
_space_group_name_H-M_alt 'I m m a'
_space_group_IT_number 74
_space_group_name_Hall '-I 2b 2'
_cell_length_a 5.731
_cell_length_b 5.852
_cell_length_c 8.196
_cell_angle_alpha 90.00
_cell_angle_beta 90.00
_cell_angle_gamma 90.00
loop_
_atom_site_label
_atom_site_fract_x
_atom_site_fract_y
_atom_site_fract_z
Co1 0.250 0.250 0.250
Cu1 0.000 0.250 0.624
Ni1 0.000 0.000 0.000
O1 0.000 0.031 0.247
O2 0.231 0.250 0.018